(1)
PPt6O12: optimized geometry, PBE.

Its energy is -109.436 eV for the cell shown. As for the crystal system: trigonal. Its space group is No. 148.

a = 5.9784 Å, b = 5.9784 Å, c = 5.9784 Å
α = 95.49°, β = 95.49°, γ = 95.49°
Atoms (fractional coordinates):
O1 0.4357 0.5934 0.1814
O2 0.1814 0.4357 0.5934
O3 0.8186 0.5643 0.4066
Pt1 0.7135 0.8747 0.4286
O4 0.5934 0.1814 0.4357
Pt2 0.2865 0.1253 0.5714
O5 0.0101 0.0037 0.2922
P1 0.0000 0.0000 0.0000
Pt3 0.1253 0.5714 0.2865
Pt4 0.8747 0.4286 0.7135
O6 0.4066 0.8186 0.5643
O7 0.9963 0.7078 0.9899
O8 0.2922 0.0101 0.0037
Pt5 0.5714 0.2865 0.1253
O9 0.5643 0.4066 0.8186
Pt6 0.4286 0.7135 0.8747
O10 0.0037 0.2922 0.0101
O11 0.7078 0.9899 0.9963
O12 0.9899 0.9963 0.7078

---

(2)
P2PtO2: optimized geometry, PBE.

The relative energy among the computed polymorphs is 1321.1 meV per atom. As for the crystal system: tetragonal. Its space group is No. 123.

a = 4.7242 Å, b = 4.7242 Å, c = 3.7814 Å
α = 90.00°, β = 90.00°, γ = 90.00°
Last column: magnetic moment on the atom in μB.
Atoms (fractional coordinates):
O1 0.5000 0.5000 0.5000  -0.02
O2 0.0000 0.0000 0.5000  0.38
P1 0.0000 0.5000 0.0000  0.05
P2 0.5000 0.0000 0.0000  0.05
Pt1 0.0000 0.0000 0.0000  0.22